The following is a DFT calculation (PBE-GGA) of a relaxed structure of AcLuB.

The structure in extended XYZ format:
```
12
Lattice="6.708 0.000 0.000 0.000 6.708 0.000 0.000 0.000 6.708" Properties=species:S:1:pos:R:3 pbc="T T T"
Ac 0.000 0.000 0.000
Ac 0.000 3.354 3.354
Ac 3.354 0.000 3.354
Ac 3.354 3.354 0.000
Lu 0.000 0.000 3.354
Lu 0.000 3.354 0.000
Lu 3.354 0.000 0.000
Lu 3.354 3.354 3.354
B 1.677 1.677 1.677
B 1.677 5.031 5.031
B 5.031 1.677 5.031
B 5.031 5.031 1.677
```

V = 25.2 Å³ per atom
Total magnetic moment = 0.57 μB per cell
Polymorph energy (0 for the lowest one) = 0.0 meV per atom

***

The following is a DFT calculation (PBE-GGA) of a relaxed structure of Gd2MgSb4.

The structure in extended XYZ format:
```
14
Lattice="9.840 0.000 0.000 0.000 7.742 0.000 -1.605 0.000 5.426" Properties=species:S:1:pos:R:3 pbc="T T T"
Gd 0.947 0.000 1.612
Gd 2.368 3.871 3.814
Gd 5.867 3.871 1.612
Gd 7.288 0.000 3.814
Mg 0.000 3.871 0.000
Mg 4.920 0.000 0.000
Sb 0.047 1.796 4.153
Sb 0.047 5.946 4.153
Sb 3.268 2.075 1.273
Sb 3.268 5.666 1.273
Sb 4.967 2.075 4.153
Sb 4.967 5.666 4.153
Sb 8.188 1.796 1.273
Sb 8.188 5.946 1.273
```

V = 29.5 Å³ per atom
Total magnetic moment = 0.02 μB per cell
Raw total energy = -62.20 eV/cell

***

The following is a DFT calculation (PBE-GGA) of a relaxed structure of Sm2CuSi2Au.

The structure in extended XYZ format:
```
6
Lattice="4.263 0.000 0.000 -2.131 3.692 0.000 0.000 0.000 7.936" Properties=species:S:1:pos:R:3 pbc="T T T"
Sm 0.000 0.000 1.928
Sm 0.000 0.000 6.008
Cu 2.131 1.231 0.000
Si 0.000 2.461 0.000
Si 2.131 1.231 3.968
Au 0.000 2.461 3.968
```

V = 20.8 Å³ per atom
Total magnetic moment = 0.00 μB per cell
Raw total energy = -31.58 eV/cell

***

The following is a DFT calculation (PBE-GGA) of a relaxed structure of NaCuTcTe2Se.

The structure in extended XYZ format:
```
12
Lattice="1.868 -7.217 0.000 1.868 7.217 0.000 0.000 0.000 9.985" Properties=species:S:1:pos:R:3 pbc="T T T"
Na 1.868 3.705 7.489
Na 1.868 -3.705 2.496
Cu 1.868 6.754 2.496
Cu 1.868 -6.754 7.489
Tc 1.868 0.000 0.000
Tc 1.868 0.000 4.993
Te 1.868 5.264 0.429
Te 1.868 5.264 4.563
Te 1.868 -5.264 5.422
Te 1.868 -5.264 9.556
Se 1.868 1.046 2.496
Se 1.868 -1.046 7.489
```

V = 22.4 Å³ per atom
Total magnetic moment = 4.32 μB per cell
Raw total energy = -52.92 eV/cell

***

The following is a DFT calculation (PBE-GGA) of a relaxed structure of PrAlCu.

The structure in extended XYZ format:
```
9
Lattice="6.896 0.000 0.000 -3.448 5.972 0.000 0.000 0.000 4.570" Properties=species:S:1:pos:R:3 pbc="T T T"
Pr -1.947 3.373 0.000
Pr 1.500 2.599 0.000
Pr 3.895 0.000 0.000
Al 0.000 0.000 0.000
Al 0.000 3.981 2.285
Al 3.448 1.991 2.285
Cu -0.777 1.346 2.285
Cu 1.555 0.000 2.285
Cu 2.671 4.625 2.285
```

V = 20.9 Å³ per atom
Total magnetic moment = 0.01 μB per cell
Raw total energy = -38.56 eV/cell

***

The following is a DFT calculation (PBE-GGA) of a relaxed structure of CdGeSeO.

The structure in extended XYZ format:
```
8
Lattice="4.180 0.000 0.000 0.000 4.180 0.000 0.000 0.000 11.069" Properties=species:S:1:pos:R:3 pbc="T T T"
Cd 1.045 3.135 0.000
Cd 3.135 1.045 0.000
Ge 1.045 1.045 4.537
Ge 3.135 3.135 6.533
Se 1.045 1.045 9.332
Se 3.135 3.135 1.738
O 1.045 1.045 6.253
O 3.135 3.135 4.816
```

V = 24.2 Å³ per atom
Polymorph energy (0 for the lowest one) = 259.8 meV per atom

***

The following is a DFT calculation (PBE-GGA) of a relaxed structure of Na2PdPb4Au.

The structure in extended XYZ format:
```
8
Lattice="4.512 0.000 0.000 0.000 8.339 0.000 -2.210 0.000 5.617" Properties=species:S:1:pos:R:3 pbc="T T T"
Na 0.000 0.000 0.000
Na 0.021 4.169 1.490
Pd 0.038 0.000 3.148
Pb 0.032 2.427 4.753
Pb 0.032 5.912 4.753
Pb 2.290 1.635 2.332
Pb 2.290 6.704 2.332
Au 2.284 4.169 3.974
```

V = 26.4 Å³ per atom
Raw total energy = -27.88 eV/cell

***

The following is a DFT calculation (PBE-GGA) of a relaxed structure of ZrTlFePt.

The structure in extended XYZ format:
```
16
Lattice="6.593 0.000 0.000 0.000 6.593 0.000 0.000 0.000 6.593" Properties=species:S:1:pos:R:3 pbc="T T T"
Zr 0.000 0.000 0.000
Zr 0.000 3.297 3.297
Zr 3.297 0.000 3.297
Zr 3.297 3.297 0.000
Tl 0.000 0.000 3.297
Tl 0.000 3.297 0.000
Tl 3.297 0.000 0.000
Tl 3.297 3.297 3.297
Fe 1.648 1.648 4.945
Fe 1.648 4.945 1.648
Fe 4.945 1.648 1.648
Fe 4.945 4.945 4.945
Pt 1.648 1.648 1.648
Pt 1.648 4.945 4.945
Pt 4.945 1.648 4.945
Pt 4.945 4.945 1.648
```

V = 17.9 Å³ per atom
Total magnetic moment = 7.20 μB per cell
Polymorph energy (0 for the lowest one) = 0.0 meV per atom

***

The following is a DFT calculation (PBE-GGA) of a relaxed structure of RbScCoSe3.

The structure in extended XYZ format:
```
12
Lattice="8.132 -2.033 0.000 8.132 2.033 0.000 -1.647 0.000 8.514" Properties=species:S:1:pos:R:3 pbc="T T T"
Rb 2.413 0.000 0.526
Rb 12.203 0.000 7.988
Sc 1.758 0.000 4.852
Sc 12.859 0.000 3.662
Co 6.909 0.000 5.817
Co 7.708 0.000 2.697
Se -0.824 0.000 4.257
Se 4.447 0.000 5.451
Se 5.435 0.000 2.043
Se 8.132 0.000 0.000
Se 9.182 0.000 6.471
Se 10.170 0.000 3.063
```

V = 23.5 Å³ per atom
Total magnetic moment = 2.74 μB per cell
Raw total energy = -59.96 eV/cell

***

The following is a DFT calculation (PBE-GGA) of a relaxed structure of Zr2B2Pb.

The structure in extended XYZ format:
```
10
Lattice="3.148 0.000 0.000 0.000 15.311 0.000 0.000 0.000 3.399" Properties=species:S:1:pos:R:3 pbc="T T T"
Zr 0.000 2.398 0.000
Zr 0.000 12.913 0.000
Zr 1.574 5.257 0.000
Zr 1.574 10.054 0.000
B 0.000 4.165 1.700
B 0.000 11.146 1.700
B 1.574 3.491 1.700
B 1.574 11.820 1.700
Pb 0.000 7.656 1.700
Pb 1.574 0.000 1.700
```

V = 16.4 Å³ per atom
Total magnetic moment = 0.01 μB per cell
Raw total energy = -74.00 eV/cell

***

The following is a DFT calculation (PBE-GGA) of a relaxed structure of Na2ZnBr4.

The structure in extended XYZ format:
```
28
Lattice="14.548 0.000 0.000 0.000 8.598 0.000 0.000 0.000 6.828" Properties=species:S:1:pos:R:3 pbc="T T T"
Na 0.000 0.000 0.000
Na 0.000 4.299 0.000
Na 3.347 2.150 3.360
Na 3.927 6.449 6.774
Na 7.274 0.000 3.414
Na 7.274 4.299 3.414
Na 10.621 2.150 0.054
Na 11.201 6.449 3.468
Zn 1.328 6.449 2.772
Zn 5.946 2.150 6.186
Zn 8.602 6.449 0.642
Zn 13.220 2.150 4.057
Br 0.932 2.150 5.037
Br 1.345 6.449 5.182
Br 2.427 4.513 1.746
Br 2.427 8.384 1.746
Br 4.847 0.214 5.160
Br 4.847 4.085 5.160
Br 5.929 2.150 1.767
Br 6.342 6.449 1.623
Br 8.206 2.150 5.206
Br 8.620 6.449 5.061
Br 9.701 4.513 1.668
Br 9.701 8.384 1.668
Br 12.121 0.214 5.082
Br 12.121 4.085 5.082
Br 13.203 2.150 1.647
Br 13.617 6.449 1.791
```

V = 30.5 Å³ per atom
Raw total energy = -78.37 eV/cell

***

The following is a DFT calculation (PBE-GGA) of a relaxed structure of Co3Si2Sn2.

The structure in extended XYZ format:
```
7
Lattice="2.091 1.207 6.715 -2.091 1.207 6.715 0.000 -2.414 6.715" Properties=species:S:1:pos:R:3 pbc="T T T"
Co 0.000 0.000 0.000
Co 0.000 0.000 5.062
Co 0.000 0.000 15.046
Si 0.000 0.000 7.519
Si 0.000 0.000 17.556
Sn 0.000 0.000 2.580
Sn 0.000 0.000 12.419
```

V = 14.5 Å³ per atom
Total magnetic moment = 1.32 μB per cell
Raw total energy = -40.38 eV/cell

***

The following is a DFT calculation (PBE-GGA) of a relaxed structure of TaNiMo.

The structure in extended XYZ format:
```
12
Lattice="6.640 0.000 0.000 0.000 3.289 0.000 0.000 0.000 8.250" Properties=species:S:1:pos:R:3 pbc="T T T"
Ta 0.321 0.822 1.319
Ta 3.000 2.467 5.444
Ta 3.641 0.822 2.807
Ta 6.320 2.467 6.932
Ni 1.608 0.822 7.020
Ni 1.712 2.467 2.895
Ni 4.928 0.822 5.356
Ni 5.032 2.467 1.230
Mo 0.874 0.822 4.597
Mo 2.446 2.467 0.471
Mo 4.194 0.822 7.779
Mo 5.766 2.467 3.654
```

V = 15.0 Å³ per atom
Total magnetic moment = 0.00 μB per cell
Polymorph energy (0 for the lowest one) = 0.0 meV per atom
Formation enthalpy at 0 K = -0.02 eV per atom

***

The following is a DFT calculation (PBE-GGA) of a relaxed structure of HoCo2As.

The structure in extended XYZ format:
```
8
Lattice="3.976 0.000 0.000 0.000 4.929 0.000 0.000 0.000 6.802" Properties=species:S:1:pos:R:3 pbc="T T T"
Ho 0.000 0.036 0.000
Ho 1.988 4.892 3.401
Co 0.000 1.368 2.316
Co 0.000 3.550 2.264
Co 1.988 1.379 5.665
Co 1.988 3.561 5.716
As 0.000 2.485 4.561
As 1.988 2.443 1.160
```

V = 16.7 Å³ per atom
Total magnetic moment = 3.15 μB per cell
Polymorph energy (0 for the lowest one) = 370.8 meV per atom

***

The following is a DFT calculation (PBE-GGA) of a relaxed structure of CuBMoPt.

The structure in extended XYZ format:
```
16
Lattice="5.933 0.000 0.000 0.000 5.933 0.000 0.000 0.000 5.933" Properties=species:S:1:pos:R:3 pbc="T T T"
Cu 0.000 0.000 0.000
Cu 0.000 2.967 2.967
Cu 2.967 0.000 2.967
Cu 2.967 2.967 0.000
B 1.483 1.483 4.450
B 1.483 4.450 1.483
B 4.450 1.483 1.483
B 4.450 4.450 4.450
Mo 1.483 1.483 1.483
Mo 1.483 4.450 4.450
Mo 4.450 1.483 4.450
Mo 4.450 4.450 1.483
Pt 0.000 0.000 2.967
Pt 0.000 2.967 0.000
Pt 2.967 0.000 0.000
Pt 2.967 2.967 2.967
```

V = 13.1 Å³ per atom
Total magnetic moment = 0.26 μB per cell
Polymorph energy (0 for the lowest one) = 238.8 meV per atom

***

The following is a DFT calculation (PBE-GGA) of a relaxed structure of PuCdAs.

The structure in extended XYZ format:
```
12
Lattice="6.740 0.000 0.000 0.000 6.740 0.000 0.000 0.000 6.740" Properties=species:S:1:pos:R:3 pbc="T T T"
Pu 0.000 0.000 0.000
Pu 0.000 3.370 3.370
Pu 3.370 0.000 3.370
Pu 3.370 3.370 0.000
Cd 0.000 0.000 3.370
Cd 0.000 3.370 0.000
Cd 3.370 0.000 0.000
Cd 3.370 3.370 3.370
As 1.685 1.685 5.055
As 1.685 5.055 1.685
As 5.055 1.685 1.685
As 5.055 5.055 5.055
```

V = 25.5 Å³ per atom
Total magnetic moment = 25.37 μB per cell
Polymorph energy (0 for the lowest one) = 0.0 meV per atom

***

The following is a DFT calculation (PBE-GGA) of a relaxed structure of Sm3Al2Ni6H9.

The structure in extended XYZ format:
```
40
Lattice="-4.635 4.635 4.635 4.635 -4.635 4.635 4.635 4.635 -4.635" Properties=species:S:1:pos:R:3 pbc="T T T"
Sm 2.519 0.000 0.000
Sm 6.751 0.000 0.000
Sm 0.000 2.519 0.000
Sm 0.000 0.000 2.519
Sm 0.000 6.751 0.000
Sm 0.000 0.000 6.751
Al 2.317 2.317 -2.317
Al 2.317 -2.317 2.317
Al -2.317 2.317 2.317
Al 2.317 2.317 2.317
Ni 4.635 1.516 -1.516
Ni 4.635 -1.516 1.516
Ni 4.635 1.516 1.516
Ni 1.516 4.635 -1.516
Ni 3.118 3.118 0.000
Ni 1.516 -1.516 4.635
Ni 3.118 0.000 3.118
Ni -1.516 4.635 1.516
Ni 1.516 4.635 1.516
Ni -1.516 1.516 4.635
Ni 1.516 1.516 4.635
Ni 0.000 3.118 3.118
H 0.000 0.000 0.000
H 1.259 1.259 -1.259
H 3.376 3.376 -3.376
H 1.259 -1.259 1.259
H 4.635 0.000 0.000
H 3.376 -3.376 3.376
H 4.635 2.317 0.000
H 4.635 0.000 2.317
H -1.259 1.259 1.259
H 1.259 1.259 1.259
H 0.000 4.635 0.000
H 2.317 4.635 0.000
H 0.000 0.000 4.635
H 2.317 0.000 4.635
H -3.376 3.376 3.376
H 3.376 3.376 3.376
H 0.000 4.635 2.317
H 0.000 2.317 4.635
```

V = 10.0 Å³ per atom
Total magnetic moment = 0.01 μB per cell
Raw total energy = -185.29 eV/cell

***

The following is a DFT calculation (PBE-GGA) of a relaxed structure of LuTlFeW.

The structure in extended XYZ format:
```
16
Lattice="6.687 0.000 0.000 0.000 6.687 0.000 0.000 0.000 6.687" Properties=species:S:1:pos:R:3 pbc="T T T"
Lu 0.000 0.000 0.000
Lu 0.000 3.343 3.343
Lu 3.343 0.000 3.343
Lu 3.343 3.343 0.000
Tl 1.672 1.672 1.672
Tl 1.672 5.015 5.015
Tl 5.015 1.672 5.015
Tl 5.015 5.015 1.672
Fe 0.000 0.000 3.343
Fe 0.000 3.343 0.000
Fe 3.343 0.000 0.000
Fe 3.343 3.343 3.343
W 1.672 1.672 5.015
W 1.672 5.015 1.672
W 5.015 1.672 1.672
W 5.015 5.015 5.015
```

V = 18.7 Å³ per atom
Total magnetic moment = 7.98 μB per cell
Polymorph energy (0 for the lowest one) = 0.0 meV per atom

***

The following is a DFT calculation (PBE-GGA) of a relaxed structure of Pr3PdPt2Pb3.

The structure in extended XYZ format:
```
9
Lattice="7.864 0.000 0.000 -3.932 6.810 0.000 0.000 0.000 4.162" Properties=species:S:1:pos:R:3 pbc="T T T"
Pr -1.613 2.795 0.000
Pr 3.227 0.000 0.000
Pr 2.319 4.016 0.000
Pd 0.000 0.000 0.000
Pt 0.000 4.540 2.081
Pt 3.932 2.270 2.081
Pb -2.929 5.074 2.081
Pb 1.003 1.737 2.081
Pb 5.859 0.000 2.081
```

V = 24.8 Å³ per atom
Total magnetic moment = 0.00 μB per cell
Raw total energy = -50.02 eV/cell

***

The following is a DFT calculation (PBE-GGA) of a relaxed structure of TbAgMo.

The structure in extended XYZ format:
```
12
Lattice="6.648 0.000 0.000 0.000 6.648 0.000 0.000 0.000 6.648" Properties=species:S:1:pos:R:3 pbc="T T T"
Tb 0.000 0.000 0.000
Tb 0.000 3.324 3.324
Tb 3.324 0.000 3.324
Tb 3.324 3.324 0.000
Ag 0.000 0.000 3.324
Ag 0.000 3.324 0.000
Ag 3.324 0.000 0.000
Ag 3.324 3.324 3.324
Mo 1.662 1.662 4.986
Mo 1.662 4.986 1.662
Mo 4.986 1.662 1.662
Mo 4.986 4.986 4.986
```

V = 24.5 Å³ per atom
Total magnetic moment = 11.36 μB per cell
Formation enthalpy at 0 K = 0.96 eV per atom

***

The following is a DFT calculation (PBE-GGA) of a relaxed structure of PrTaBi.

The structure in extended XYZ format:
```
12
Lattice="7.082 0.000 0.000 0.000 7.082 0.000 0.000 0.000 7.082" Properties=species:S:1:pos:R:3 pbc="T T T"
Pr 0.000 0.000 0.000
Pr 0.000 3.541 3.541
Pr 3.541 0.000 3.541
Pr 3.541 3.541 0.000
Ta 0.000 0.000 3.541
Ta 0.000 3.541 0.000
Ta 3.541 0.000 0.000
Ta 3.541 3.541 3.541
Bi 1.770 1.770 1.770
Bi 1.770 5.311 5.311
Bi 5.311 1.770 5.311
Bi 5.311 5.311 1.770
```

V = 29.6 Å³ per atom
Total magnetic moment = 2.26 μB per cell
Polymorph energy (0 for the lowest one) = 0.0 meV per atom

***

The following is a DFT calculation (PBE-GGA) of a relaxed structure of Zn2Sn2O5.

The structure in extended XYZ format:
```
9
Lattice="3.822 0.000 0.000 0.000 3.822 0.000 0.000 0.000 8.146" Properties=species:S:1:pos:R:3 pbc="T T T"
Zn 0.000 0.000 0.000
Zn 0.000 0.000 4.073
Sn 1.911 1.911 2.008
Sn 1.911 1.911 6.139
O 0.000 1.911 2.752
O 0.000 1.911 5.394
O 1.911 0.000 2.752
O 1.911 0.000 5.394
O 1.911 1.911 0.000
```

V = 13.2 Å³ per atom
Polymorph energy (0 for the lowest one) = 110.5 meV per atom

***

The following is a DFT calculation (PBE-GGA) of a relaxed structure of Nd2Sm2B2Br3Cl2.

The structure in extended XYZ format:
```
11
Lattice="10.098 -1.986 0.000 10.098 1.986 0.000 -1.975 0.000 8.023" Properties=species:S:1:pos:R:3 pbc="T T T"
Nd -0.371 0.000 1.664
Nd 18.593 0.000 6.359
Sm 5.091 0.000 7.146
Sm 13.130 0.000 0.878
B 7.361 0.000 7.829
B 10.861 0.000 0.195
Br 1.774 0.000 6.795
Br 9.111 0.000 4.012
Br 16.447 0.000 1.228
Cl 2.569 0.000 2.748
Cl 15.652 0.000 5.275
```

V = 29.3 Å³ per atom
Total magnetic moment = 0.01 μB per cell
Raw total energy = -55.96 eV/cell